[1]
GaAsN2O | Alexandria via LeMat-Bulk | PBE | relaxed; ρ = 5.35 g/cm³; uncorrected formation energy = 0.9811 eV per atom; magnetization = 1.311 Bohr magnetons per cell; electronic total energy = -24.38 eV/f.u.
1.0
3.910 0.000 0.000
0.000 3.910 0.000
0.000 0.000 3.831
Ga As N O
1 1 2 1
direct
0.000 0.000 0.000 Ga
0.500 0.500 0.500 As
0.000 0.500 0.000 N
0.500 0.000 0.000 N
0.000 0.000 0.500 O

=====

[2]
CdIrPt2 | Alexandria via LeMat-Bulk | PBE | relaxed; ρ = 17.92 g/cm³; magnetization = 0.000 Bohr magnetons per cell; ΔH_f (0 K) = -0.0666 eV/atom; electronic total energy = -22.12 eV/f.u.
1.0
2.857 -3.981 0.000
2.857 3.981 0.000
0.000 0.000 2.830
Cd Ir Pt
1 1 2
direct
0.000 0.000 0.000 Cd
0.500 0.500 0.000 Ir
0.000 0.500 0.500 Pt
0.500 0.000 0.500 Pt

=====

[3]
Pr4SiO7 | Alexandria via LeMat-Bulk | PBE | relaxed; ρ = 6.39 g/cm³; uncorrected formation energy = -2.8790 eV per atom; magnetization = 0.000 Bohr magnetons per cell; electronic total energy = -93.80 eV/f.u.
1.0
6.602 -2.007 0.000
6.602 2.007 0.000
-6.080 0.000 6.901
Pr Si O
4 1 7
direct
0.087 0.087 0.391 Pr
0.247 0.247 0.159 Pr
0.753 0.753 0.841 Pr
0.913 0.913 0.609 Pr
0.500 0.500 0.000 Si
0.000 0.000 0.000 O
0.128 0.128 0.700 O
0.303 0.303 0.453 O
0.413 0.413 0.092 O
0.587 0.587 0.908 O
0.697 0.697 0.547 O
0.872 0.872 0.300 O

=====

[4]
In5Ga12Ag3 | Alexandria via LeMat-Bulk | PBE | relaxed; ρ = 5.83 g/cm³; magnetization = 0.000 Bohr magnetons per cell; ΔH_f (0 K) = 0.1484 eV/atom; electronic total energy = -55.60 eV/f.u.
1.0
-7.907 7.907 7.907
7.907 -7.907 7.907
7.907 7.907 -7.907
In Ga Ag
20 48 12
direct
0.000 0.000 0.000 In
0.000 0.000 0.500 In
0.000 0.500 0.000 In
0.000 0.500 0.500 In
0.125 0.750 0.875 In
0.125 0.875 0.250 In
0.250 0.125 0.875 In
0.250 0.625 0.375 In
0.375 0.250 0.625 In
0.375 0.625 0.750 In
0.500 0.000 0.000 In
0.500 0.000 0.500 In
0.500 0.500 0.000 In
0.500 0.500 0.500 In
0.625 0.375 0.250 In
0.625 0.750 0.375 In
0.750 0.375 0.625 In
0.750 0.875 0.125 In
0.875 0.125 0.750 In
0.875 0.250 0.125 In
0.071 0.647 0.410 Ga
0.071 0.924 0.661 Ga
0.076 0.238 0.147 Ga
0.076 0.339 0.929 Ga
0.090 0.738 0.661 Ga
0.090 0.853 0.429 Ga
0.147 0.076 0.238 Ga
0.147 0.571 0.910 Ga
0.161 0.238 0.590 Ga
0.161 0.424 0.571 Ga
0.238 0.147 0.076 Ga
0.238 0.590 0.161 Ga
0.262 0.339 0.910 Ga
0.262 0.424 0.353 Ga
0.339 0.910 0.262 Ga
0.339 0.929 0.076 Ga
0.353 0.262 0.424 Ga
0.353 0.590 0.929 Ga
0.410 0.071 0.647 Ga
0.410 0.839 0.762 Ga
0.424 0.353 0.262 Ga
0.424 0.571 0.161 Ga
0.429 0.090 0.853 Ga
0.429 0.839 0.576 Ga
0.571 0.161 0.424 Ga
0.571 0.910 0.147 Ga
0.576 0.429 0.839 Ga
0.576 0.647 0.738 Ga
0.590 0.161 0.238 Ga
0.590 0.929 0.353 Ga
0.647 0.410 0.071 Ga
0.647 0.738 0.576 Ga
0.661 0.071 0.924 Ga
0.661 0.090 0.738 Ga
0.738 0.576 0.647 Ga
0.738 0.661 0.090 Ga
0.762 0.410 0.839 Ga
0.762 0.853 0.924 Ga
0.839 0.576 0.429 Ga
0.839 0.762 0.410 Ga
0.853 0.429 0.090 Ga
0.853 0.924 0.762 Ga
0.910 0.147 0.571 Ga
0.910 0.262 0.339 Ga
0.924 0.661 0.071 Ga
0.924 0.762 0.853 Ga
0.929 0.076 0.339 Ga
0.929 0.353 0.590 Ga
0.125 0.250 0.375 Ag
0.125 0.375 0.750 Ag
0.250 0.375 0.125 Ag
0.250 0.875 0.625 Ag
0.375 0.125 0.250 Ag
0.375 0.750 0.125 Ag
0.625 0.250 0.875 Ag
0.625 0.875 0.750 Ag
0.750 0.125 0.375 Ag
0.750 0.625 0.875 Ag
0.875 0.625 0.250 Ag
0.875 0.750 0.625 Ag